(A)
Compound: Si2C
Source: Alexandria via LeMat-Bulk
Functional: PBEsol
Structure: relaxed

Lattice parameters (Å, degrees): 2.8742 2.8742 9.5279 90.00 90.00 120.00
Sites, in units of the cell vectors:
Si  0.3333  0.6667  0.3766
C  0.0000  0.0000  0.0000
Si  0.6667  0.3333  0.6234
Si  0.3333  0.6667  0.1234
Si  0.6667  0.3333  0.8766
C  0.0000  0.0000  0.5000

Output
- M_tot (μB/f.u.) = 0.00
- symmetry = P6_3/mmc (194)



(B)
Compound: Si2C
Source: Alexandria via LeMat-Bulk
Functional: PBEsol
Structure: relaxed

Lattice parameters (Å, degrees): 3.1371 3.1371 7.2026 90.00 90.00 90.00
Sites, in units of the cell vectors:
Si  0.5000  0.0000  0.3631
Si  0.0000  0.0000  0.0000
C  0.0000  0.5000  0.3672
Si  0.0000  0.5000  0.6369
Si  0.5000  0.5000  0.0000
C  0.5000  0.0000  0.6328

Output
- M_tot (μB/f.u.) = 0.00
- symmetry = P4/nmm (129)



How do the structures above rank in stability at the extremes? (A) comes first and (B) comes last.